DFT (PBE) results for a relaxed SmHoBr2NCl crystal.

Values from the calculation:
The value obtained for the size of the total moment is 0.0 μB per formula unit. As for the total energy: -0.2107 Ha/atom. Its energy above the most stable polymorph in this dataset is 9 meV/atom.

abc: 18.333 3.901 11.567
angles: 90.00 125.50 90.00
Space group C2/m (No. 12)
One atom of each set of equivalent atoms:
Sm 0.139 0.000 0.292 x4
Ho 0.074 0.500 0.961 x4
Br 0.038 0.000 0.749 x4
Br 0.215 0.000 0.119 x4
N 0.074 0.500 0.153 x4
Cl 0.173 0.500 0.507 x4

---

DFT (PBE) results for a relaxed Nd4CI3Cl2 crystal.

Values from the calculation:
The value obtained for the size of the total moment is 0.3 μB per formula unit. As for the total energy: -0.1838 Ha/atom. Its energy above the most stable polymorph in this dataset is 12 meV/atom.

abc: 18.113 4.047 8.876
angles: 90.00 102.81 90.00
Space group C2/m (No. 12)
One atom of each set of equivalent atoms:
Nd 0.004 0.000 0.307 x4
Nd 0.143 0.500 0.570 x4
C 0.000 0.500 0.500 x2
I 0.000 0.500 0.000 x2
I 0.172 0.000 0.847 x4
Cl 0.170 0.000 0.358 x4

---

DFT (PBE) results for a relaxed TbPrTlTe3 crystal.

Values from the calculation:
The value obtained for the size of the total moment is 0.3 μB per formula unit. As for the total energy: -0.1650 Ha/atom. Its energy above the most stable polymorph in this dataset is 30 meV/atom.

abc: 4.471 15.332 12.262
angles: 90.00 90.00 90.00
Space group Cmcm (No. 63)
One atom of each set of equivalent atoms:
Tb 0.000 0.000 0.000 x4
Pr 0.000 0.425 0.250 x4
Tl 0.000 0.264 0.750 x4
Te 0.000 0.065 0.250 x4
Te 0.000 0.357 0.018 x8